This record from Alexandria via LeMat-Bulk describes YTcPdCl2 after structural relaxation. The functional is GGA-PBEsol.

Lattice parameters (Å, degrees): 4.3993 4.3993 5.9109 90.00 90.00 90.00
Closest atoms and distances in Å follow each position.
Space group P4/mmm (No. 123)
One atom of each set of equivalent atoms:
1 Y 0.0000 0.0000 0.0000 (multiplicity 1)  2 Tc 2.96, 4 Pd 3.11
2 Tc 0.0000 0.0000 0.5000 (multiplicity 1)  4 Cl 2.20
3 Pd 0.5000 0.5000 0.0000 (multiplicity 1)  4 Y 3.11
4 Cl 0.0000 0.5000 0.5000 (multiplicity 2)  2 Tc 2.20


This record from Alexandria via LeMat-Bulk describes ZrTc2PdCl after structural relaxation. The functional is GGA-PBEsol.

Lattice parameters (Å, degrees): 4.3231 4.3231 4.4500 90.00 90.00 90.00
Closest atoms and distances in Å follow each position.
Space group P4/mmm (No. 123)
One atom of each set of equivalent atoms:
1 Zr 0.0000 0.0000 0.0000 (multiplicity 1)  4 Pd 3.06, 8 Tc 3.10
2 Tc 0.0000 0.5000 0.5000 (multiplicity 2)  2 Cl 2.16
3 Pd 0.5000 0.5000 0.0000 (multiplicity 1)  2 Cl 2.23
4 Cl 0.5000 0.5000 0.5000 (multiplicity 1)  4 Tc 2.16, 2 Pd 2.23


This record from Alexandria via LeMat-Bulk describes Te2PdCl10 after structural relaxation. The functional is GGA-PBEsol.

Lattice parameters (Å, degrees): 14.0040 7.2818 20.9436 90.00 131.91 90.00
Closest atoms and distances in Å follow each position.
Space group P2_1/c (No. 14)
One atom of each set of equivalent atoms:
1 Te 0.1521 0.0922 0.2110 (multiplicity 4)  3 Cl 2.33-2.37
2 Te 0.2851 0.0693 0.0457 (multiplicity 4)  3 Cl 2.33-2.36
3 Pd 0.0364 0.7423 0.5227 (multiplicity 4)  4 Cl 2.28
4 Cl 0.0044 0.7223 0.6157 (multiplicity 4)  1 Pd 2.28
5 Cl 0.0332 0.0677 0.2517 (multiplicity 4)  1 Te 2.33
6 Cl 0.0705 0.7344 0.9306 (multiplicity 4)  1 Pd 2.28
7 Cl 0.1753 0.1878 0.5861 (multiplicity 4)  1 Pd 2.28
8 Cl 0.2408 0.1232 0.7812 (multiplicity 4)  1 Te 2.36
9 Cl 0.2479 0.6749 0.6316 (multiplicity 4)  1 Pd 2.28
10 Cl 0.3245 0.5781 0.8315 (multiplicity 4)  1 Te 2.37
11 Cl 0.3259 0.1884 0.4920 (multiplicity 4)  1 Te 2.36
12 Cl 0.3923 0.6495 0.5301 (multiplicity 4)  1 Te 2.36
13 Cl 0.4695 0.1335 0.1871 (multiplicity 4)  1 Te 2.33


This record from Alexandria via LeMat-Bulk describes Te2Pd2Cl after structural relaxation. The functional is GGA-PBEsol.

Lattice parameters (Å, degrees): 3.9099 3.9099 14.2536 90.00 90.00 90.00
Closest atoms and distances in Å follow each position.
Space group I4/mmm (No. 139)
One atom of each set of equivalent atoms:
1 Te 0.0000 0.0000 0.1239 (multiplicity 4)  4 Pd 2.66
2 Pd 0.0000 0.5000 0.2500 (multiplicity 4)  4 Te 2.66, 4 Pd 2.76
3 Cl 0.0000 0.0000 0.5000 (multiplicity 2)  8 Te 3.28


This record from Alexandria via LeMat-Bulk describes TePd2Cl after structural relaxation. The functional is GGA-PBEsol.

Lattice parameters (Å, degrees): 6.5718 6.5718 6.5718 90.00 90.00 90.00
Closest atoms and distances in Å follow each position.
Space group Fm-3m (No. 225)
One atom of each set of equivalent atoms:
1 Te 0.0000 0.0000 0.0000 (multiplicity 4)  8 Pd 2.85
2 Pd 0.2500 0.2500 0.2500 (multiplicity 8)  4 Cl 2.85, 4 Te 2.85
3 Cl 0.0000 0.0000 0.5000 (multiplicity 4)  8 Pd 2.85


This record from Alexandria via LeMat-Bulk describes Tl3PdCl after structural relaxation. The functional is GGA-PBEsol.

Lattice parameters (Å, degrees): 5.2382 5.2382 5.2382 90.00 90.00 90.00
Closest atoms and distances in Å follow each position.
Space group Pm-3m (No. 221)
One atom of each set of equivalent atoms:
1 Tl 0.0000 0.0000 0.5000 (multiplicity 3)  2 Pd 2.62
2 Pd 0.0000 0.0000 0.0000 (multiplicity 1)  6 Tl 2.62
3 Cl 0.5000 0.5000 0.5000 (multiplicity 1)  12 Tl 3.70


This record from Alexandria via LeMat-Bulk describes Tl4Pd3Cl10 after structural relaxation. The functional is GGA-PBEsol.

Lattice parameters (Å, degrees): 15.7153 15.7153 13.7492 90.00 90.00 90.00
Closest atoms and distances in Å follow each position.
Space group I-42d (No. 122)
One atom of each set of equivalent atoms:
1 Tl 0.0000 0.0000 0.1336 (multiplicity 8)  6 Cl 3.06-3.37
2 Tl 0.0453 0.2437 0.3558 (multiplicity 16)  10 Cl 3.17-3.52
3 Tl 0.2431 0.2500 0.1250 (multiplicity 8)  7 Cl 3.15-3.44
4 Pd 0.0149 0.1073 0.6145 (multiplicity 16)  4 Cl 2.28-2.31
5 Pd 0.1028 0.7500 0.1250 (multiplicity 8)  4 Cl 2.29
6 Cl 0.0429 0.2500 0.1250 (multiplicity 8)  1 Pd 2.29
7 Cl 0.0812 0.6346 0.5145 (multiplicity 16)  1 Pd 2.29
8 Cl 0.0923 0.6199 0.7498 (multiplicity 16)  2 Pd 2.29-2.31
9 Cl 0.1037 0.6495 0.2460 (multiplicity 16)  1 Pd 2.29
10 Cl 0.1108 0.6202 0.9787 (multiplicity 16)  1 Pd 2.28
11 Cl 0.2485 0.7500 0.1250 (multiplicity 8)  1 Pd 2.29


This record from Alexandria via LeMat-Bulk describes TlPdCl3 after structural relaxation. The functional is GGA-PBEsol.

Lattice parameters (Å, degrees): 4.8420 4.8420 4.8420 90.00 90.00 90.00
Closest atoms and distances in Å follow each position.
Space group Pm-3m (No. 221)
One atom of each set of equivalent atoms:
1 Tl 0.0000 0.0000 0.0000 (multiplicity 1)  12 Cl 3.42
2 Pd 0.5000 0.5000 0.5000 (multiplicity 1)  6 Cl 2.42
3 Cl 0.0000 0.5000 0.5000 (multiplicity 3)  2 Pd 2.42


| no. | E_form (uncorrected) (meV/atom) | total magnetization (μB/atom) |
| --- | --- | --- |
| 1 | 131 | 0.000 |
| 2 | 596 | 0.001 |
| 3 | -565 | 0.000 |
| 4 | -301 | 0.000 |
| 5 | 2 | 0.000 |
| 6 | -346 | 0.000 |
| 7 | -715 | 0.000 |
| 8 | -674 | 0.000 |